First-principles (GGA-PBE) data for an optimized crystal structure of MgTlF3, as listed in the Alexandria database.

Properties
Total energy (eV per atom): -4.600
Energy relative to the elements, uncorrected (eV per formula unit): -13.423

Cell lengths 11.7441, 9.3564, 5.5811 Å; angles 90.00, 90.01, 90.00 degrees
Space group C2/c (No. 15)
Inequivalent atoms, fractional coordinates:
Mg (0.2500, 0.0817, 0.1132) (multiplicity 8)
Tl (0.0000, 0.1601, 0.7500) (multiplicity 4)
Tl (0.0000, 0.3399, 0.2500) (multiplicity 4)
F (0.1384, 0.0318, 0.3928) (multiplicity 8)
F (0.1385, 0.4686, 0.6068) (multiplicity 8)
F (0.2495, 0.2125, 0.7940) (multiplicity 8)